This record from the Alexandria database describes an optimized crystal structure of Na2SmNiF8. The functional is PBE with a Hubbard U.

```
data_Na2SmNiF8
_cell_length_a 4.4920
_cell_length_b 6.9109
_cell_length_c 5.3702
_cell_angle_alpha 90.00
_cell_angle_beta 92.14
_cell_angle_gamma 90.00
_symmetry_space_group_name_H-M 'P 1'
_symmetry_Int_Tables_number 1
_symmetry_space_group_name_Hall 'P 1'
loop_
_atom_site_label
_atom_site_fract_x
_atom_site_fract_y
_atom_site_fract_z
Na1 0.0000 0.2329 0.0000
Na2 0.0000 0.7671 0.0000
Sm1 0.5000 0.5000 0.5000
Ni1 0.5000 0.0000 0.5000
F1 0.0937 0.5000 0.2493
F2 0.1714 0.0000 0.2819
F3 0.3648 0.2198 0.7060
F4 0.3648 0.7802 0.7060
F5 0.6352 0.2198 0.2940
F6 0.6352 0.7802 0.2940
F7 0.8286 0.0000 0.7181
F8 0.9063 0.5000 0.7507
```

Output
- ρ: 4.06 g/cm³
- Calculated volume: 166.6 Å³ per cell
- Space group: No. 10
- Final energy: -58.77 eV for the cell shown